A plane-wave DFT calculation with PBE was carried out for a relaxed structure of GaAg2Sn3.

Computed properties:
* total DFT energy (no corrections): -3.40 eV/atom
* ΔE_f: 53 meV/atom
* size of the total moment: 0.00 Bohr magnetons per cell
* SG: P2_1/c (14)

Cell lengths 14.4498, 5.4820, 9.4068 Å; angles 90.00, 130.60, 90.00 degrees
Fractional positions:
Ga (0.5392, 0.7542, 0.5404)
Ga (0.9608, 0.2542, 0.9596)
Ga (0.4608, 0.2458, 0.4596)
Ga (0.0392, 0.7458, 0.0404)
Ag (0.7053, 0.7775, 0.2049)
Ag (0.7947, 0.2775, 0.2951)
Ag (0.2947, 0.2225, 0.7951)
Ag (0.2053, 0.7225, 0.7049)
Ag (0.2896, 0.8616, 0.2900)
Ag (0.2104, 0.3616, 0.2100)
Ag (0.7104, 0.1384, 0.7100)
Ag (0.7896, 0.6384, 0.7900)
Sn (0.1483, 0.0394, 0.8960)
Sn (0.3517, 0.5394, 0.6040)
Sn (0.8517, 0.9606, 0.1040)
Sn (0.6483, 0.4606, 0.3960)
Sn (0.3519, 0.5417, 0.0993)
Sn (0.1481, 0.0417, 0.4007)
Sn (0.6481, 0.4583, 0.9007)
Sn (0.8519, 0.9583, 0.5993)
Sn (0.9996, 0.5008, 0.3354)
Sn (0.5004, 0.0008, 0.1646)
Sn (0.0004, 0.4992, 0.6646)
Sn (0.4996, 0.9992, 0.8354)